GGA-PBE Er4TmS5, relaxed; magnetization = 0.00 μB per atom; D(E_F) = 0.426 states/eV per atom; raw total energy = -62.8 eV for the cell shown
1.0
3.794 0.000 -0.732
-0.281 5.241 -1.455
0.002 0.004 10.210
Tm Er S
1 4 5
Cartesian
0.000 0.000 0.000 Tm
2.109 3.146 0.732 Er
0.703 1.049 3.643 Er
1.407 2.099 7.292 Er
2.813 4.197 4.380 Er
2.952 1.574 5.102 S
1.269 4.725 6.580 S
0.564 3.671 2.921 S
-0.140 2.621 -0.727 S
2.246 0.521 1.444 S